A plane-wave DFT calculation with SCAN was carried out for a PBEsol-optimized structure of CaGa2Cu3Ru2O12.

Results
Crystal system   cubic
Volume   9.9 A^3/atom
Space-group type   No. 201
Formation energy from raw total energies   -30.384 eV per formula unit
Distance to the lowest polymorph of the same formula   0.000 eV per atom

Cell: 7.333 7.333 7.333 Å, 90.00 90.00 90.00°
Sites, in units of the cell vectors:
Ca  0.250  0.250  0.250
Ca  0.750  0.750  0.750
Ga  0.000  0.000  0.000
Ga  0.000  0.500  0.500
Ga  0.500  0.000  0.500
Ga  0.500  0.500  0.000
Cu  0.250  0.250  0.750
Cu  0.250  0.750  0.250
Cu  0.250  0.750  0.750
Cu  0.750  0.250  0.250
Cu  0.750  0.250  0.750
Cu  0.750  0.750  0.250
Ru  0.000  0.000  0.500
Ru  0.000  0.500  0.000
Ru  0.500  0.000  0.000
Ru  0.500  0.500  0.500
O  0.057  0.749  0.924
O  0.057  0.751  0.576
O  0.076  0.557  0.249
O  0.076  0.943  0.251
O  0.249  0.076  0.557
O  0.249  0.424  0.943
O  0.251  0.076  0.943
O  0.251  0.424  0.557
O  0.424  0.557  0.251
O  0.424  0.943  0.249
O  0.443  0.749  0.576
O  0.443  0.751  0.924
O  0.557  0.249  0.076
O  0.557  0.251  0.424
O  0.576  0.057  0.751
O  0.576  0.443  0.749
O  0.749  0.576  0.443
O  0.749  0.924  0.057
O  0.751  0.576  0.057
O  0.751  0.924  0.443
O  0.924  0.057  0.749
O  0.924  0.443  0.751
O  0.943  0.249  0.424
O  0.943  0.251  0.076